## PrNd2WN4 (PBE-GGA)

Data for a geometry-optimized PrNd2WN4 structure.

Cell and atoms, written as CIF:
```
data_PrNd2WN4
_chemical_formula_sum 'Pr4 Nd8 W4 N16'
_symmetry_space_group_name_H-M 'C m c m'
_symmetry_Int_Tables_number 63
_symmetry_space_group_name_Hall '-C 2c 2'
_cell_length_a 3.5011
_cell_length_b 12.2021
_cell_length_c 12.4493
_cell_angle_alpha 90.00
_cell_angle_beta 90.00
_cell_angle_gamma 90.00
loop_
_atom_site_label
_atom_site_type_symbol
_atom_site_fract_x
_atom_site_fract_y
_atom_site_fract_z
Pr1 Pr 0.0000 0.0889 0.2500
Nd1 Nd 0.0000 0.3691 0.0377
W1 W 0.0000 0.1702 0.7500
N1 N 0.0000 0.0000 0.0000
N2 N 0.0000 0.2670 0.6308
N3 N 0.0000 0.4260 0.2500
```

Results
**E_tot**: -8.5166 eV/atom

## PrNdY2N4 (PBE-GGA)

Data for a geometry-optimized PrNdY2N4 structure.

Cell and atoms, written as CIF:
```
data_PrNdY2N4
_chemical_formula_sum 'Pr1 Nd1 Y2 N4'
_symmetry_space_group_name_H-M 'P 1 2/m 1'
_symmetry_Int_Tables_number 10
_cell_length_a 6.1914
_cell_length_b 3.5766
_cell_length_c 6.1992
_cell_angle_alpha 90.00
_cell_angle_beta 109.41
_cell_angle_gamma 90.00
loop_
_symmetry_equiv_pos_as_xyz
'x,y,z'
'-x,-y,-z'
'-x,y,-z'
'x,-y,z'
loop_
_atom_site_label
_atom_site_type_symbol
_atom_site_fract_x
_atom_site_fract_y
_atom_site_fract_z
Pr1 Pr 0.0000 0.0000 0.0000
Nd1 Nd 0.5000 0.5000 0.0000
Y1 Y 0.0000 0.5000 0.5000
Y2 Y 0.5000 0.0000 0.5000
N1 N 0.2475 0.0000 0.7394
N2 N 0.2548 0.5000 0.2615
```

Results
**E_tot**: -8.4575 eV/atom

## PrNdYN3 (PBE-GGA)

Data for a geometry-optimized PrNdYN3 structure.

Cell and atoms, written as CIF:
```
data_PrNdYN3
_chemical_formula_sum 'Pr2 Nd2 Y2 N6'
_symmetry_space_group_name_H-M 'P 1 21/m 1'
_symmetry_Int_Tables_number 11
_cell_length_a 6.1763
_cell_length_b 3.5919
_cell_length_c 9.2873
_cell_angle_alpha 90.00
_cell_angle_beta 101.75
_cell_angle_gamma 90.00
loop_
_symmetry_equiv_pos_as_xyz
'x,y,z'
'-x,-y,-z'
'-x,y+1/2,-z'
'x,-y+1/2,z'
loop_
_atom_site_label
_atom_site_type_symbol
_atom_site_fract_x
_atom_site_fract_y
_atom_site_fract_z
Pr1 Pr 0.1495 0.2500 0.1940
Nd1 Nd 0.2695 0.7500 0.5467
Y1 Y 0.3531 0.2500 0.8621
N1 N 0.0394 0.2500 0.6764
N2 N 0.2562 0.7500 0.9892
N3 N 0.4639 0.7500 0.3410
```

Results
**E_tot**: -8.1278 eV/atom